Compound: BaCo2Rh
Source: the Alexandria database
Functional: PBEsol
Structure: relaxed

Cell: 5.4349 5.4349 5.4349 Å, 147.16 123.84 66.61°
Closest atoms and distances in Å follow each position.
Element x y z (fractional)
Ba: 0.0000 0.0000 0.0000  8 Co 2.99-3.14, 2 Ba 3.07, 4 Rh 3.11-3.15
Co: 0.2993 0.7993 0.5000  2 Co 2.26
Co: 0.4823 0.4823 0.0000  2 Co 2.26, 2 Rh 2.52
Rh: 0.7024 0.2024 0.5000  2 Co 2.52

SG: Imm2 (44)
Energy of formation from the pure elements: 0.738 eV/atom